Entry from Alexandria: a relaxed structure of ZrBe2Pd2 (PBEsol).

- N(E_F) (states/eV per cell) = 5.8
- formation energy (meV/atom) = -490.9

Structure (CIF):
```
data_ZrBe2Pd2
_chemical_formula_sum 'Zr2 Be4 Pd4'
_symmetry_space_group_name_H-M 'P 4/m b m'
_symmetry_Int_Tables_number 127
_symmetry_space_group_name_Hall '-P 4 2ab'
_cell_length_a 6.930
_cell_length_b 6.930
_cell_length_c 2.745
_cell_angle_alpha 90.00
_cell_angle_beta 90.00
_cell_angle_gamma 90.00
loop_
_atom_site_label
_atom_site_type_symbol
_atom_site_fract_x
_atom_site_fract_y
_atom_site_fract_z
Zr1 Zr 0.000 0.000 0.000
Be1 Be 0.114 0.386 0.000
Pd1 Pd 0.176 0.676 0.500
```

---

Entry from Alexandria: a relaxed structure of MnZnPt2 (PBEsol).

- N(E_F) (states/eV per cell) = 1.2
- formation energy (meV/atom) = -422.5

Structure (CIF):
```
data_MnZnPt2
_chemical_formula_sum 'Mn1 Zn1 Pt2'
_symmetry_space_group_name_H-M 'P m m m'
_symmetry_Int_Tables_number 47
_symmetry_space_group_name_Hall '-P 2 2'
_cell_length_a 2.853
_cell_length_b 3.488
_cell_length_c 5.669
_cell_angle_alpha 90.00
_cell_angle_beta 90.00
_cell_angle_gamma 90.00
loop_
_atom_site_label
_atom_site_type_symbol
_atom_site_fract_x
_atom_site_fract_y
_atom_site_fract_z
Mn1 Mn 0.000 0.000 0.000
Zn1 Zn 0.000 0.000 0.500
Pt1 Pt 0.500 0.500 0.251
```